# Li7Mn2Co3O12 | Alexandria via LeMat-Bulk | GGA+U | optimized geometry
data_Li7Mn2Co3O12
_chemical_formula_sum 'Li14 Mn4 Co6 O24'
_cell_length_a 14.917
_cell_length_b 2.870
_cell_length_c 10.137
_cell_angle_alpha 90.00
_cell_angle_beta 108.41
_cell_angle_gamma 90.00
_symmetry_space_group_name_H-M 'C 1 m 1'
_symmetry_Int_Tables_number 8
_symmetry_space_group_name_Hall 'C -2y'
loop_
_atom_site_label
_atom_site_type_symbol
_atom_site_fract_x
_atom_site_fract_y
_atom_site_fract_z
Li1 Li 0.000 0.000 0.000
Li2 Li 0.001 0.000 0.443
Li3 Li 0.161 0.500 0.454
Li4 Li 0.163 0.500 0.974
Li5 Li 0.322 0.000 0.458
Li6 Li 0.335 0.000 0.973
Li7 Li 0.498 0.000 0.214
Mn1 Mn 0.332 0.500 0.213
Mn2 Mn 0.495 0.000 0.716
Co1 Co 0.161 0.000 0.218
Co2 Co 0.163 0.000 0.715
Co3 Co 0.328 0.500 0.716
O1 O 0.077 0.000 0.826
O2 O 0.083 0.500 0.608
O3 O 0.087 0.000 0.336
O4 O 0.090 0.500 0.104
O5 O 0.240 0.500 0.819
O6 O 0.243 0.500 0.325
O7 O 0.250 0.000 0.106
O8 O 0.251 0.000 0.611
O9 O 0.402 0.000 0.328
O10 O 0.403 0.500 0.095
O11 O 0.408 0.000 0.823
O12 O 0.415 0.500 0.605
# mass density = 4.3 g cm⁻³
# M_tot = 0.45 μB per cell
# energy relative to the lowest polymorph listed for this composition = 29 meV/atom
# calculated total energy = -5.868 eV/atom